Run one
# K2TaCo | the Alexandria database | GGA-PBEsol | optimized geometry
# - N(E_F): 3.95 states/eV per cell
# - Size of the total moment: 0.27 Bohr magnetons per cell
data_K2TaCo
_cell_length_a 3.704
_cell_length_b 3.704
_cell_length_c 5.958
_cell_angle_alpha 90.00
_cell_angle_beta 90.00
_cell_angle_gamma 90.00
_space_group_name_H-M_alt 'P 4/m m m'
_space_group_IT_number 123
_space_group_name_Hall '-P 4 2'
loop_
_atom_site_label
_atom_site_fract_x
_atom_site_fract_y
_atom_site_fract_z
K1 0.000 0.500 0.000
Ta1 0.000 0.000 0.500
Co1 0.500 0.500 0.500

=====

Run two
# K2TaCo | the Alexandria database | GGA-PBEsol | optimized geometry
# - N(E_F): 6.34 states/eV per cell
# - Size of the total moment: 1.06 Bohr magnetons per cell
data_K2TaCo
_cell_length_a 5.317
_cell_length_b 11.823
_cell_length_c 2.733
_cell_angle_alpha 90.00
_cell_angle_beta 90.00
_cell_angle_gamma 90.00
_space_group_name_H-M_alt 'C m m m'
_space_group_IT_number 65
_space_group_name_Hall '-C 2 2'
loop_
_atom_site_label
_atom_site_fract_x
_atom_site_fract_y
_atom_site_fract_z
K1 0.250 0.250 0.000
Ta1 0.000 0.000 0.500
Co1 0.000 0.500 0.500

=====

Run three
# K2TaCo | the Alexandria database | GGA-PBEsol | optimized geometry
# - N(E_F): 59.92 states/eV per cell
# - Size of the total moment: 21.38 Bohr magnetons per cell
data_K2TaCo
_cell_length_a 7.733
_cell_length_b 7.733
_cell_length_c 7.733
_cell_angle_alpha 90.00
_cell_angle_beta 90.00
_cell_angle_gamma 90.00
_space_group_name_H-M_alt 'F m -3 m'
_space_group_IT_number 225
_space_group_name_Hall '-F 4 2 3'
loop_
_atom_site_label
_atom_site_fract_x
_atom_site_fract_y
_atom_site_fract_z
K1 0.250 0.250 0.250
Ta1 0.000 0.000 0.000
Co1 0.000 0.000 0.500

=====

run one is the most stable structure; the next one sits 0.102 eV/atom above it.

=====

Run one
# K2TlCo | the Alexandria database | GGA-PBEsol | optimized geometry
# - N(E_F): 31.85 states/eV per cell
# - Size of the total moment: 4.81 Bohr magnetons per cell
data_K2TlCo
_cell_length_a 7.543
_cell_length_b 7.543
_cell_length_c 7.543
_cell_angle_alpha 90.00
_cell_angle_beta 90.00
_cell_angle_gamma 90.00
_space_group_name_H-M_alt 'F -4 3 m'
_space_group_IT_number 216
_space_group_name_Hall 'F -4 2 3'
loop_
_atom_site_label
_atom_site_fract_x
_atom_site_fract_y
_atom_site_fract_z
K1 0.000 0.000 0.000
K2 0.250 0.250 0.250
Tl1 0.250 0.250 0.750
Co1 0.000 0.000 0.500

=====

Run two
# K2TlCo | the Alexandria database | GGA-PBEsol | optimized geometry
# - N(E_F): 12.22 states/eV per cell
# - Size of the total moment: 2.79 Bohr magnetons per cell
data_K2TlCo
_cell_length_a 5.736
_cell_length_b 9.730
_cell_length_c 4.187
_cell_angle_alpha 90.00
_cell_angle_beta 90.00
_cell_angle_gamma 90.00
_space_group_name_H-M_alt 'C m m m'
_space_group_IT_number 65
_space_group_name_Hall '-C 2 2'
loop_
_atom_site_label
_atom_site_fract_x
_atom_site_fract_y
_atom_site_fract_z
K1 0.250 0.250 0.000
Tl1 0.000 0.000 0.500
Co1 0.000 0.500 0.500

=====

run one is the most stable structure; the next one sits 0.060 eV/atom above it.

=====

Run one
# KCoW | the Alexandria database | GGA-PBEsol | optimized geometry
# - N(E_F): 2.82 states/eV per cell
# - Size of the total moment: 1.34 Bohr magnetons per cell
data_KCoW
_cell_length_a 4.8254
_cell_length_b 4.8254
_cell_length_c 2.5683
_cell_angle_alpha 90.00
_cell_angle_beta 90.00
_cell_angle_gamma 120.00
_space_group_name_H-M_alt 'P 3 m 1'
_space_group_IT_number 156
_space_group_name_Hall 'P 3 -2"'
loop_
_atom_site_label
_atom_site_fract_x
_atom_site_fract_y
_atom_site_fract_z
K1 0.0000 0.0000 0.0000
Co1 0.6667 0.3333 0.6273
W1 0.3333 0.6667 0.3503

=====

Run two
# KCoW | the Alexandria database | GGA-PBEsol | optimized geometry
# - N(E_F): 14.46 states/eV per cell
# - Size of the total moment: 0.00 Bohr magnetons per cell
data_KCoW
_cell_length_a 6.047
_cell_length_b 6.047
_cell_length_c 6.047
_cell_angle_alpha 90.00
_cell_angle_beta 90.00
_cell_angle_gamma 90.00
_space_group_name_H-M_alt 'F -4 3 m'
_space_group_IT_number 216
_space_group_name_Hall 'F -4 2 3'
loop_
_atom_site_label
_atom_site_fract_x
_atom_site_fract_y
_atom_site_fract_z
K1 0.000 0.000 0.000
Co1 0.000 0.000 0.500
W1 0.250 0.250 0.250

=====

run one is the most stable structure; the next one sits 0.496 eV/atom above it.